Entry 1:
CdPd2Au: optimized geometry, PBE-GGA.

Cell lengths 3.114, 3.114, 7.062 Å; angles 90.00, 90.00, 90.00 degrees
Space group P4/mmm (No. 123)
Unique sites:
Cd: 0.000 0.000 0.000
Pd: 0.500 0.500 0.251
Au: 0.000 0.000 0.500

calculated formation energy	-108	kJ/mol of formula units
ρ	12665	kg/m3

=====

Entry 2:
PrMgPt: optimized geometry, PBE-GGA.

Cell lengths 4.6949, 4.6949, 7.2076 Å; angles 90.00, 90.00, 120.00 degrees
Space group P6_3mc (No. 186)
Unique sites:
Pr: 0.0000 0.0000 0.0000
Mg: 0.3333 0.6667 0.2560
Pt: 0.3333 0.6667 0.7363

uncorrected energy	-4.857	eV per atom
ρ	8697	kg/m3

=====

Entry 3:
YBPt: optimized geometry, PBE-GGA.

Cell lengths 6.169, 6.169, 6.169 Å; angles 90.00, 90.00, 90.00 degrees
Space group F-43m (No. 216)
Unique sites:
Y: 0.000 0.000 0.000
B: 0.000 0.000 0.500
Pt: 0.250 0.250 0.750

ρ	8340	kg/m3
energy relative to the lowest polymorph listed for this composition	399.7	meV per atom

=====

Entry 4:
TaCoBW: optimized geometry, PBE-GGA.

Cell lengths 5.956, 5.956, 5.956 Å; angles 90.00, 90.00, 90.00 degrees
Space group F-43m (No. 216)
Unique sites:
Ta: 0.000 0.000 0.000
Co: 0.250 0.250 0.750
B: 0.000 0.000 0.500
W: 0.250 0.250 0.250

ρ	13659	kg/m3
energy relative to the lowest polymorph listed for this composition	0.0	meV per atom

=====

Entry 5:
Pr2Tl2Pd3Pt: optimized geometry, PBE-GGA.

Cell lengths 4.7260, 4.7260, 9.1905 Å; angles 90.00, 90.00, 120.00 degrees
Space group P3m1 (No. 156)
Unique sites:
Pr: 0.0000 0.0000 0.0000
Pr: 0.3333 0.6667 0.4939
Tl: 0.6667 0.3333 0.2473
Tl: 0.6667 0.3333 0.7446
Pd: 0.0000 0.0000 0.3393
Pd: 0.0000 0.0000 0.6593
Pd: 0.3333 0.6667 0.8310
Pt: 0.3333 0.6667 0.1530

uncorrected energy	-5.137	eV per atom
ρ	11255	kg/m3

=====

Entry 6:
RbAgGeSeS2: optimized geometry, PBE-GGA.

Cell lengths 3.571, 16.088, 10.631 Å; angles 90.00, 90.00, 90.00 degrees
Space group Cmcm (No. 63)
Unique sites:
Rb: 0.000 0.225 0.250
Ag: 0.000 0.088 0.750
Ge: 0.000 0.500 0.000
Se: 0.000 0.456 0.750
S: 0.000 0.109 0.524

uncorrected energy	-3.684	eV per atom
ρ	4449	kg/m3

=====

Entry 7:
LiGaTc: optimized geometry, PBE-GGA.

Cell lengths 5.811, 5.811, 5.811 Å; angles 90.00, 90.00, 90.00 degrees
Space group F-43m (No. 216)
Unique sites:
Li: 0.000 0.000 0.000
Ga: 0.250 0.250 0.250
Tc: 0.000 0.000 0.500

ρ	5911	kg/m3
energy relative to the lowest polymorph listed for this composition	622.8	meV per atom

=====

Entry 8:
NbSbAsO: optimized geometry, PBE-GGA.

Cell lengths 3.500, 7.681, 6.431 Å; angles 90.00, 90.00, 90.00 degrees
Space group Pmc2_1 (No. 26)
Unique sites:
Nb: 0.000 0.213 0.000
Sb: 0.500 0.384 0.355
As: 0.000 0.120 0.391
O: 0.500 0.223 0.866

ρ	5869	kg/m3
energy relative to the lowest polymorph listed for this composition	161.6	meV per atom

=====

Entry 9:
SrHoSi2: optimized geometry, PBE-GGA.

Cell lengths 3.894, 4.454, 11.125 Å; angles 90.00, 90.00, 90.00 degrees
Space group Amm2 (No. 38)
Unique sites:
Sr: 0.000 0.000 0.000
Ho: 0.500 0.000 0.719
Si: 0.000 0.000 0.278
Si: 0.500 0.000 0.415

ρ	5314	kg/m3
energy relative to the lowest polymorph listed for this composition	0.0	meV per atom

=====

Entry 10:
YMgCu: optimized geometry, PBE-GGA.

Cell lengths 6.028, 4.849, 8.660 Å; angles 90.00, 90.00, 90.00 degrees
Space group Pnma (No. 62)
Unique sites:
Y: 0.194 0.250 0.080
Mg: 0.019 0.250 0.717
Cu: 0.204 0.250 0.412

ρ	4638	kg/m3
energy relative to the lowest polymorph listed for this composition	26.5	meV per atom

=====

Entry 11:
PaTl5Se5: optimized geometry, PBE-GGA.

Cell lengths 14.511, 6.128, 9.138 Å; angles 90.00, 112.63, 90.00 degrees
Space group C2/m (No. 12)
Unique sites:
Pa: 0.000 0.000 0.000
Tl: 0.000 0.000 0.500
Tl: 0.158 0.500 0.807
Tl: 0.198 0.500 0.305
Se: 0.000 0.500 0.000
Se: 0.139 0.000 0.303
Se: 0.151 0.000 0.887

uncorrected energy	-4.216	eV per atom
ρ	7296	kg/m3

=====

Entry 12:
Dy2YHo: optimized geometry, PBE-GGA.

Cell lengths 5.616, 12.557, 7.252 Å; angles 90.00, 90.00, 90.00 degrees
Space group Ama2 (No. 40)
Unique sites:
Dy: 0.250 0.083 0.000
Dy: 0.250 0.333 0.251
Y: 0.250 0.084 0.500
Ho: 0.250 0.333 0.749

calculated formation energy	2	kJ/mol of formula units
ρ	7519	kg/m3

=====

Question: Number 3 is which compound?
Answer: YBPt